1.
An optimized crystal structure of MgZr2Mo. Source: the Alexandria database, functional GGA-PBE.

Energy relative to the elements, meV/atom: 290.6
Spin magnetization, μB/f.u.: 0.00

abc: 10.2894 10.2894 10.2894
angles: 17.15 17.15 17.15
Fractional positions:
Zr: 0.0043 0.0043 0.0043
Zr: 0.2507 0.2507 0.2507
Mg: 0.4942 0.4942 0.4942
Mo: 0.7508 0.7508 0.7508

2.
An optimized crystal structure of Cr2RuRh. Source: the Alexandria database, functional GGA-PBE.

Energy relative to the elements, meV/atom: 78.2
Spin magnetization, μB/f.u.: 0.19

abc: 2.6776 3.6372 5.3617
angles: 90.00 90.00 90.00
Each line ends with the local moment (μB).
Fractional positions:
Rh: 0.0000 0.0000 0.4827  0.07
Cr: 0.5000 0.5000 0.2406  -0.35
Cr: 0.0000 0.0000 0.9956  0.49
Ru: 0.5000 0.5000 0.7811  -0.03

3.
An optimized crystal structure of Zn2Pb2Cl7. Source: the Alexandria database, functional GGA-PBE.

Spin magnetization, μB/f.u.: 1.02
Final energy, eV per atom: -3.065

abc: 7.1031 7.1471 7.1471
angles: 96.97 93.51 93.51
Each line ends with the local moment (μB).
Fractional positions:
Cl: 0.5000 0.0000 0.0000  0.01
Cl: 0.3174 0.6274 0.6274  0.02
Cl: 0.2263 0.0817 0.4297  0.01
Cl: 0.6826 0.3726 0.3726  0.02
Cl: 0.7737 0.9183 0.5703  0.01
Cl: 0.2263 0.4297 0.0817  0.01
Cl: 0.7737 0.5703 0.9183  0.01
Zn: 0.5943 0.7723 0.7723  0.02
Zn: 0.4057 0.2277 0.2277  0.02
Pb: 0.0000 0.6628 0.3372  0.17
Pb: 0.0000 0.3372 0.6628  0.17

4.
An optimized crystal structure of BeCdP2. Source: the Alexandria database, functional GGA-PBE.

Energy relative to the elements, meV/atom: 653.6
Spin magnetization, μB/f.u.: 0.00

abc: 3.4320 3.3557 6.0509
angles: 90.00 90.00 90.00
Fractional positions:
P: 0.0000 0.0000 0.0000
P: 0.5000 0.5000 0.0000
Cd: 0.0000 0.5000 0.5000
Be: 0.5000 0.0000 0.5000